(1)
{"formula": "BaIrCl2", "functional": "PBEsol", "state": "relaxed", "formation_energy_uncorrected_mev_per_atom": 18, "mass_density_kg_m3": 6007, "crystal_system": "trigonal", "cell": [[-1.5005, -1.0399, -3.6514], [-3.4160, -2.2217, -0.2455], [-5.8143, 5.3455, -1.4151]], "species": ["Ir", "Ba", "Cl", "Cl"], "fractional_positions": [[0.5000, 0.5000, 0.5000], [0.0000, 0.0000, 0.0000], [0.8716, 0.8716, 0.3851], [0.1284, 0.1284, 0.6149]]}

=====

(2)
{"formula": "BaAgC2Se", "functional": "PBEsol", "state": "relaxed", "formation_energy_uncorrected_mev_per_atom": 1963, "mass_density_kg_m3": 5404, "crystal_system": "tetragonal", "cell": [[-3.2607, 1.3815, 2.3168], [-2.5097, -2.8861, -1.8112], [1.3959, -3.9097, 4.2959]], "species": ["C", "C", "Se", "Ba", "Ag"], "fractional_positions": [[0.0000, 0.5000, 0.0000], [0.5000, 0.0000, 0.0000], [0.0000, 0.0000, 0.0000], [0.0000, 0.0000, 0.5000], [0.5000, 0.5000, 0.5000]]}